! LiW2S (PBE, relaxed); values from VASP
! **Formation energy (no corrections)**: 0.4579 eV/atom
! **DOS at the Fermi energy**: 3.4 states/eV/f.u.
&SYSTEM
  ibrav = 0, nat = 8, ntyp = 3
/
ATOMIC_SPECIES
Li 6.94 Li.upf
W 183.84 W.upf
S 32.06 S.upf
CELL_PARAMETERS angstrom
7.7292 0.0000 0.0000
0.0000 7.7292 0.0000
3.8646 3.8646 2.2018
ATOMIC_POSITIONS angstrom
Li 3.8646 7.7292 1.1009
Li 3.8646 3.8646 0.0000
W 5.7969 5.0852 1.6513
W 9.6614 10.3731 1.6513
W 6.5085 1.9323 0.5504
W 1.2206 5.7969 0.5504
S 7.7292 3.8646 1.1009
S 0.0000 0.0000 0.0000